First-principles (GGA-PBE) data for a relaxed Ni4Pd crystal, as listed in Alexandria.

The density of states at the Fermi level is 16.81 states/eV per cell. As for the crystal system: orthorhombic. The magnetic moment is 0.57 μB per atom. The relative energy among the computed polymorphs is 0.0 meV per atom. The value obtained for the energy of formation from the pure elements is 0.2 eV/f.u.

It has space group Immm (No. 71), with a = 2.5901 Å, b = 3.5403 Å, c = 12.9585 Å, α = 90.00°, β = 90.00° and γ = 90.00°. The inequivalent atoms are Ni at (0.0000, 0.0000, 0.1089), Ni at (0.0000, 0.0000, 0.2972) and Pd at (0.0000, 0.0000, 0.5000).